# TaMnV2O6, optimized geometry, DFT GGA+U
data_TaMnV2O6
_space_group_name_H-M_alt 'P 1'
_space_group_IT_number 1
_space_group_name_Hall 'P 1'
_cell_length_a 5.271
_cell_length_b 5.335
_cell_length_c 5.672
_cell_angle_alpha 62.72
_cell_angle_beta 63.24
_cell_angle_gamma 59.70
loop_
_atom_site_label
_atom_site_fract_x
_atom_site_fract_y
_atom_site_fract_z
O1 0.391 0.719 0.765
O2 0.719 0.126 0.763
Mn1 0.801 0.807 0.585
Ta1 0.312 0.318 0.050
V1 0.519 0.516 0.446
O3 0.128 0.399 0.758
V2 0.019 0.009 0.955
O4 0.222 0.948 0.229
O5 0.944 0.598 0.234
O6 0.607 0.220 0.230
# Final energy (eV/cell): -86.02
# Symmetry: P1 (1)
# V (Å³/cell): 117.30
# Crystal system: triclinic